A plane-wave DFT calculation with PBE-GGA was carried out for crystalline CdCoTc2 at its relaxed geometry.

Lattice parameters (Å, degrees): 4.677 4.677 2.761 90.00 90.00 90.00
Atoms (fractional coordinates):
Cd (0.000, 0.000, 0.000)
Co (0.500, 0.500, 0.000)
Tc (0.000, 0.500, 0.500)
Tc (0.500, 0.000, 0.500)

* electronic total energy: -6.4900 eV/atom
* space-group type: P4/mmm
* crystal system: tetragonal
* volume: 15.10 A^3/atom